(1)
Below is a relaxed structure of Fe3ReRh, with properties calculated at the PBE-GGA level.

Properties
Energy relative to the elements = 1.56 eV per atom
E = -7.48 eV/atom
Calculated density = 8.8 g cm⁻³

extended XYZ file:
```
5
Lattice="4.419 0.000 0.000 0.000 4.419 0.000 0.000 0.000 4.419" Properties=species:S:1:pos:R:3 pbc="T T T"
Fe 0.000 0.000 2.209
Fe 0.000 2.209 0.000
Fe 2.209 0.000 0.000
Re 0.000 0.000 0.000
Rh 2.209 2.209 2.209
```

(2)
Below is a relaxed structure of Nd2NpTiN5, with properties calculated at the PBE-GGA level.

Properties
Uncorrected formation energy = -1.3195 eV per atom
E = -9.32 eV/atom
Calculated density = 8.4 g cm⁻³

extended XYZ file:
```
18
Lattice="1.744 -6.985 0.000 1.744 6.985 0.000 0.000 0.000 10.499" Properties=species:S:1:pos:R:3 pbc="T T T"
Nd 1.744 5.496 5.249
Nd 1.744 5.105 1.065
Nd 1.744 -5.105 6.314
Nd 1.744 -5.496 0.000
Np 1.744 4.015 8.568
Np 1.744 -4.015 3.319
Ti 1.744 0.200 2.854
Ti 1.744 -0.200 8.104
N 1.744 6.245 8.865
N 1.744 3.061 4.727
N 1.744 2.683 2.001
N 1.744 1.755 8.527
N 1.744 0.077 6.233
N 1.744 -0.077 0.984
N 1.744 -1.755 3.278
N 1.744 -2.683 7.251
N 1.744 -3.061 9.977
N 1.744 -6.245 3.615
```

(3)
Below is a relaxed structure of ScReW2, with properties calculated at the PBE-GGA level.

Properties
Relative energy among the computed polymorphs = 744 meV per atom
Energy relative to the elements = 0.73 eV per atom
E = -10.45 eV/atom
Calculated density = 13.2 g cm⁻³

extended XYZ file:
```
16
Lattice="7.459 0.000 0.000 0.000 7.459 0.000 0.000 0.000 5.399" Properties=species:S:1:pos:R:3 pbc="T T T"
Sc 0.000 0.000 0.000
Sc 0.000 3.730 1.350
Sc 3.730 0.000 4.049
Sc 3.730 3.730 2.699
Re 0.000 0.000 2.699
Re 0.000 3.730 4.049
Re 3.730 0.000 1.350
Re 3.730 3.730 0.000
W 1.564 5.594 3.374
W 1.865 1.564 2.025
W 1.865 2.165 4.724
W 2.165 5.594 0.675
W 5.294 1.865 0.675
W 5.594 5.294 4.724
W 5.594 5.895 2.025
W 5.895 1.865 3.374
```

(4)
Below is a relaxed structure of SnBiSbI2, with properties calculated at the PBE-GGA level.

Properties
Uncorrected formation energy = 0.4249 eV per atom
Relative energy among the computed polymorphs = 21 meV per atom
E = -2.60 eV/atom
Calculated density = 5.3 g cm⁻³

extended XYZ file:
```
5
Lattice="6.007 0.000 0.000 0.000 6.007 0.000 0.000 0.000 6.070" Properties=species:S:1:pos:R:3 pbc="T T T"
Sn 0.000 0.000 0.000
Bi 3.003 3.003 3.035
Sb 3.003 3.003 0.000
I 0.000 3.003 3.035
I 3.003 0.000 3.035
```

(5)
Below is a relaxed structure of RbCuSnCl4, with properties calculated at the PBE-GGA level.

Properties
Uncorrected formation energy = -1.1035 eV per atom
E = -3.45 eV/atom
Calculated density = 3.3 g cm⁻³

extended XYZ file:
```
14
Lattice="6.457 0.000 0.000 0.000 7.367 0.000 -3.023 0.000 8.542" Properties=species:S:1:pos:R:3 pbc="T T T"
Rb 0.188 1.842 3.780
Rb 3.246 5.525 4.763
Cu 1.440 5.525 1.513
Cu 1.994 1.842 7.029
Sn -1.034 1.842 8.229
Sn 4.467 5.525 0.313
Cl -2.486 5.525 7.883
Cl -0.534 5.525 2.847
Cl 0.822 3.775 6.645
Cl 0.822 7.275 6.645
Cl 2.612 0.092 1.897
Cl 2.612 3.592 1.897
Cl 3.967 1.842 5.696
Cl 5.920 1.842 0.659
```

(6)
Below is a relaxed structure of Sn2Rh2Se, with properties calculated at the PBE-GGA level.

Properties
Uncorrected formation energy = -0.2471 eV per atom
E = -5.49 eV/atom
Calculated density = 9.3 g cm⁻³

extended XYZ file:
```
10
Lattice="7.497 0.000 0.000 0.000 7.497 0.000 0.000 0.000 3.329" Properties=species:S:1:pos:R:3 pbc="T T T"
Sn 1.151 2.598 0.000
Sn 2.598 6.347 0.000
Sn 4.899 1.151 0.000
Sn 6.347 4.899 0.000
Rh 1.082 4.831 1.664
Rh 2.667 1.082 1.664
Rh 4.831 6.415 1.664
Rh 6.415 2.667 1.664
Se 0.000 0.000 1.664
Se 3.749 3.749 1.664
```

(7)
Below is a relaxed structure of Na2AlO2, with properties calculated at the PBE-GGA level.

Properties
Uncorrected formation energy = -1.6840 eV per atom
Relative energy among the computed polymorphs = 0 meV per atom
E = -4.94 eV/atom
Calculated density = 2.3 g cm⁻³

extended XYZ file:
```
10
Lattice="-2.915 4.839 2.695 2.915 -4.839 2.695 2.915 4.839 -2.695" Properties=species:S:1:pos:R:3 pbc="T T T"
Na 0.508 1.567 0.000
Na 3.423 3.272 0.000
Na -0.508 1.567 2.695
Na 2.407 3.272 2.695
Al 2.915 0.000 1.348
Al 0.000 4.839 1.348
O 3.995 0.687 0.000
O 1.080 4.152 0.000
O 1.835 0.687 2.695
O -1.080 4.152 2.695
```

(8)
Below is a relaxed structure of LiH2Pb, with properties calculated at the PBE-GGA level.

Properties
Relative energy among the computed polymorphs = 114 meV per atom
E = -3.07 eV/atom
Calculated density = 5.2 g cm⁻³

extended XYZ file:
```
8
Lattice="4.499 0.000 0.000 0.000 4.583 0.000 -0.895 0.000 6.631" Properties=species:S:1:pos:R:3 pbc="T T T"
Li 0.000 0.000 0.000
Li 2.250 2.291 0.000
H 1.234 2.291 1.606
H 1.904 2.291 1.993
H 3.484 0.000 1.606
H 4.154 0.000 1.993
Pb 1.344 0.000 4.596
Pb 3.594 2.291 4.596
```

Size of the total moment, record by record: 5.991, 3.963, 0.000, 0.000, 0.298, 0.000, 0.000, 0.000 Bohr magnetons per cell